Entry 1:
This record from Alexandria describes a relaxed Zr3TaIr crystal. The functional is GGA-PBE.

## Properties
The calculation puts the formation energy from the elements at 0.60 eV per atom. As for the space group: Pm-3m. As for the total moment: 0.0 μB per formula unit. As for the energy above the most stable polymorph in this dataset: 0 meV/atom.

Lattice parameters (Å, degrees): 5.0046 5.0046 5.0046 90.00 90.00 90.00
With the nearest neighbours (Å) after each atom.
Element x y z (fractional)
Ir (0.0000, 0.0000, 0.0000)  6 Zr 2.50
Zr (0.0000, 0.5000, 0.0000)  2 Ir 2.50
Zr (0.0000, 0.0000, 0.5000)  2 Ir 2.50
Zr (0.5000, 0.0000, 0.0000)  2 Ir 2.50
Ta (0.5000, 0.5000, 0.5000)  12 Zr 3.54

Entry 2:
This record from Alexandria describes a relaxed Pr6Os2SI3 crystal. The functional is GGA-PBE.

## Properties
As for the space group: C2/m. As for the total moment: 0.0 μB per formula unit. The calculation puts the formation energy from raw total energies at -0.893 eV/atom.

Lattice parameters (Å, degrees): 7.3750 7.3750 8.4422 98.36 98.36 119.97
With the nearest neighbours (Å) after each atom.
Element x y z (fractional)
Pr (0.9382, 0.5910, 0.8128)  2 Os 2.84-2.85, 1 S 2.97
Pr (0.7149, 0.7149, 0.1870)  2 Os 2.84, 1 S 2.97
Pr (0.0618, 0.4090, 0.1872)  2 Os 2.84-2.85, 1 S 2.97
Pr (0.5910, 0.9382, 0.8128)  2 Os 2.84-2.85, 1 S 2.97
Pr (0.2851, 0.2851, 0.8130)  2 Os 2.84, 1 S 2.97
Pr (0.4090, 0.0618, 0.1872)  2 Os 2.84-2.85, 1 S 2.97
Os (0.3332, 0.6668, 0.0000)  6 Pr 2.84-2.85
Os (0.6668, 0.3332, 0.0000)  6 Pr 2.84-2.85
S (0.0000, 0.0000, 0.0000)  6 Pr 2.97
I (0.1656, 0.8344, 0.5000)  6 Pr 3.47-3.56
I (0.8344, 0.1656, 0.5000)  6 Pr 3.47-3.56
I (0.5000, 0.5000, 0.5000)  6 Pr 3.45-3.56

Entry 3:
This record from Alexandria describes a relaxed KScTa2 crystal. The functional is GGA-PBE.

## Properties
The calculation puts the formation energy from the elements at 0.63 eV per atom. As for the space group: P4mm. As for the total moment: 0.0 μB per formula unit. As for the energy above the most stable polymorph in this dataset: 72 meV/atom.

Lattice parameters (Å, degrees): 3.0269 3.0269 11.0575 90.00 90.00 90.00
With the nearest neighbours (Å) after each atom.
Element x y z (fractional)
K (0.0000, 0.0000, 0.4882)  4 K 3.03
Sc (0.5000, 0.5000, 0.8141)  4 Ta 3.01, 4 Sc 3.03
Ta (0.0000, 0.0000, 0.0061)  8 Ta 2.96-3.03, 4 Sc 3.01
Ta (0.5000, 0.5000, 0.1916)  8 Ta 2.96-3.03

Entry 4:
This record from Alexandria describes a relaxed NdClF2 crystal. The functional is GGA-PBE.

## Properties
As for the space group: Cmcm. As for the total moment: 0.0 μB per formula unit. The calculation puts the formation energy from raw total energies at -3.501 eV/atom.

Lattice parameters (Å, degrees): 3.9337 5.4497 7.1498 90.00 90.00 111.15
With the nearest neighbours (Å) after each atom.
Element x y z (fractional)
Nd (0.7632, 0.5265, 0.7500)  6 F 2.41-2.43
Nd (0.2368, 0.4735, 0.2500)  6 F 2.41-2.43
Cl (0.9524, 0.9048, 0.2500)  3 Nd 2.89-2.95, 2 F 3.06
Cl (0.0476, 0.0952, 0.7500)  3 Nd 2.89-2.95, 2 F 3.06
F (0.3192, 0.6385, 0.5666)  3 Nd 2.41-2.43, 3 F 2.60-2.62
F (0.6808, 0.3615, 0.4334)  3 Nd 2.41-2.43, 3 F 2.60-2.62
F (0.3192, 0.6385, 0.9334)  3 Nd 2.41-2.43, 3 F 2.60-2.62
F (0.6808, 0.3615, 0.0666)  3 Nd 2.41-2.43, 3 F 2.60-2.62

Entry 5:
This record from Alexandria describes a relaxed FeIr2Ru6 crystal. The functional is GGA-PBE.

## Properties
The calculation puts the formation energy from the elements at 0.38 eV per atom. As for the space group: P2_1/c. As for the total moment: 3.3 μB per formula unit.

Lattice parameters (Å, degrees): 5.6338 7.1956 6.7587 98.40 90.00 90.00
With the nearest neighbours (Å) after each atom.
Element x y z (fractional)
Fe (0.5000, 0.5000, 0.0000)  4 Ru 2.44-2.50, 2 Ir 2.50
Fe (0.0000, 0.0000, 0.5000)  4 Ru 2.44-2.50, 2 Ir 2.50
Ir (0.6743, 0.0438, 0.2607)  1 Fe 2.50, 6 Ru 2.55-2.74
Ir (0.1743, 0.4562, 0.2393)  1 Fe 2.50, 6 Ru 2.55-2.74
Ir (0.8257, 0.5438, 0.7607)  1 Fe 2.50, 6 Ru 2.55-2.74
Ir (0.3257, 0.9562, 0.7393)  1 Fe 2.50, 6 Ru 2.55-2.74
Ru (0.1792, 0.3062, 0.8170)  1 Fe 2.50, 4 Ru 2.56-2.72, 2 Ir 2.63-2.69
Ru (0.3215, 0.2169, 0.4548)  1 Fe 2.44, 2 Ir 2.55-2.60, 5 Ru 2.55-2.65
Ru (0.1831, 0.0780, 0.1046)  6 Ru 2.55-2.72, 2 Ir 2.62-2.74
Ru (0.6831, 0.4220, 0.3954)  6 Ru 2.55-2.72, 2 Ir 2.62-2.74
Ru (0.8215, 0.2831, 0.0452)  1 Fe 2.44, 2 Ir 2.55-2.60, 5 Ru 2.55-2.65
Ru (0.6792, 0.1938, 0.6830)  1 Fe 2.50, 4 Ru 2.56-2.72, 2 Ir 2.63-2.69
Ru (0.8208, 0.6938, 0.1830)  1 Fe 2.50, 4 Ru 2.56-2.72, 2 Ir 2.63-2.69
Ru (0.6785, 0.7831, 0.5452)  1 Fe 2.44, 2 Ir 2.55-2.60, 5 Ru 2.55-2.65
Ru (0.8169, 0.9220, 0.8954)  6 Ru 2.55-2.72, 2 Ir 2.62-2.74
Ru (0.3169, 0.5780, 0.6046)  6 Ru 2.55-2.72, 2 Ir 2.62-2.74
Ru (0.1785, 0.7169, 0.9548)  1 Fe 2.44, 2 Ir 2.55-2.60, 5 Ru 2.55-2.65
Ru (0.3208, 0.8062, 0.3170)  1 Fe 2.50, 4 Ru 2.56-2.72, 2 Ir 2.63-2.69

Entry 6:
This record from Alexandria describes a relaxed ZrTiPO2 crystal. The functional is GGA-PBE.

## Properties
As for the space group: P4/mmm. As for the total moment: 0.0 μB per formula unit. The calculation puts the formation energy from raw total energies at -1.770 eV/atom. As for the energy above the most stable polymorph in this dataset: 0 meV/atom.

Lattice parameters (Å, degrees): 3.7955 3.7955 5.0518 90.00 90.00 90.00
With the nearest neighbours (Å) after each atom.
Element x y z (fractional)
P (0.0000, 0.0000, 0.5000)  2 Ti 2.53, 4 Zr 2.68
O (0.0000, 0.5000, 0.0000)  2 Ti 1.90
O (0.5000, 0.0000, 0.0000)  2 Ti 1.90
Zr (0.5000, 0.5000, 0.5000)  4 P 2.68
Ti (0.0000, 0.0000, 0.0000)  4 O 1.90

Entry 7:
This record from Alexandria describes a relaxed AlTlCd crystal. The functional is GGA-PBE.

## Properties
The calculation puts the formation energy from the elements at 0.16 eV per atom. As for the space group: P-1. As for the total moment: 0.0 μB per formula unit.

Lattice parameters (Å, degrees): 3.2104 8.4022 6.0549 95.96 71.57 73.93
With the nearest neighbours (Å) after each atom.
Element x y z (fractional)
Tl (0.5786, 0.6365, 0.3178)  3 Al 2.97-3.28, 2 Tl 3.21, 2 Cd 3.28-3.32
Tl (0.7376, 0.0407, 0.6105)  3 Al 2.97-3.28, 2 Tl 3.21, 2 Cd 3.28-3.32
Al (0.0779, 0.7142, 0.8409)  2 Al 2.70-2.75, 2 Cd 2.88-2.96, 1 Tl 2.97
Al (0.2381, 0.9630, 0.0875)  2 Al 2.70-2.75, 2 Cd 2.88-2.96, 1 Tl 2.97
Cd (0.8833, 0.4052, 0.7386)  2 Al 2.88-2.96, 4 Cd 3.13-3.21
Cd (0.4324, 0.2719, 0.1888)  2 Al 2.88-2.96, 4 Cd 3.13-3.21

Entry 8:
This record from Alexandria describes a relaxed ScCoRe2 crystal. The functional is GGA-PBE.

## Properties
The calculation puts the formation energy from the elements at -0.03 eV per atom. As for the space group: Pmmm. As for the total moment: 1.5 μB per formula unit. As for the energy above the most stable polymorph in this dataset: 47 meV/atom.

Lattice parameters (Å, degrees): 3.1182 4.2962 4.4937 90.00 90.00 90.00
With the nearest neighbours (Å) after each atom.
Element x y z (fractional)
Co (0.0000, 0.5000, 0.5000)  4 Sc 2.65, 4 Re 2.73
Re (0.0000, 0.0000, 0.0000)  4 Re 2.65, 4 Sc 2.73
Re (0.5000, 0.5000, 0.0000)  4 Re 2.65, 4 Co 2.73
Sc (0.5000, 0.0000, 0.5000)  4 Co 2.65, 4 Re 2.73

Entry 9:
This record from Alexandria describes a relaxed Ac8Ir2Pd crystal. The functional is GGA-PBE.

## Properties
The calculation puts the formation energy from the elements at -0.35 eV per atom. As for the space group: C2/m. As for the total moment: 0.0 μB per formula unit.

Lattice parameters (Å, degrees): 7.6413 8.0667 8.0136 88.88 118.47 90.00
With the nearest neighbours (Å) after each atom.
Element x y z (fractional)
Ac (0.7143, 0.2779, 0.9227)  1 Pd 2.97, 2 Ir 3.09-3.13
Ac (0.2084, 0.2779, 0.9227)  1 Pd 2.97, 2 Ir 3.09-3.13
Ac (0.2857, 0.7221, 0.0773)  1 Pd 2.97, 2 Ir 3.09-3.13
Ac (0.7095, 0.3982, 0.4189)  1 Ir 2.88
Ac (0.7916, 0.7221, 0.0773)  1 Pd 2.97, 2 Ir 3.09-3.13
Ac (0.2076, 0.1201, 0.4152)  1 Ir 2.92, 1 Pd 3.10
Ac (0.7924, 0.8799, 0.5848)  1 Ir 2.92, 1 Pd 3.10
Ac (0.2905, 0.6018, 0.5811)  1 Ir 2.88
Ir (0.1094, 0.4429, 0.2187)  6 Ac 2.88-3.13, 1 Ir 3.20
Ir (0.8906, 0.5571, 0.7813)  6 Ac 2.88-3.13, 1 Ir 3.20
Pd (0.0000, 0.0000, 0.0000)  6 Ac 2.97-3.10

Entry 10:
This record from Alexandria describes a relaxed Ga7CuNi4 crystal. The functional is GGA-PBE.

## Properties
The calculation puts the formation energy from the elements at -0.17 eV per atom. As for the space group: C2/m. As for the total moment: 0.0 μB per formula unit.

Lattice parameters (Å, degrees): 4.3598 7.0592 6.4193 79.74 70.15 72.01
With the nearest neighbours (Å) after each atom.
Element x y z (fractional)
Ga (0.7855, 0.8555, 0.5735)  4 Ni 2.50-2.61, 1 Ga 2.66
Ga (0.2145, 0.1445, 0.4265)  4 Ni 2.50-2.61, 1 Ga 2.66
Ga (0.0650, 0.6682, 0.2018)  5 Ni 2.39-2.64, 1 Cu 2.45, 1 Ga 2.66
Ga (0.9350, 0.3318, 0.7982)  5 Ni 2.39-2.64, 1 Cu 2.45, 1 Ga 2.66
Ga (0.3398, 0.6033, 0.7170)  5 Ni 2.40-2.66
Ga (0.5000, 0.0000, 0.0000)  2 Cu 2.18, 2 Ni 2.41
Ga (0.6602, 0.3967, 0.2830)  5 Ni 2.40-2.66
Cu (0.0000, 0.0000, 0.0000)  2 Ga 2.18
Ni (0.5693, 0.2180, 0.6435)  8 Ga 2.40-2.66, 1 Ni 2.65
Ni (0.4307, 0.7820, 0.3565)  8 Ga 2.40-2.66, 1 Ni 2.65
Ni (0.6981, 0.6466, 0.9573)  8 Ga 2.39-2.65, 1 Ni 2.65
Ni (0.3019, 0.3534, 0.0427)  8 Ga 2.39-2.65, 1 Ni 2.65

Entry 11:
This record from Alexandria describes a relaxed YTaCr2 crystal. The functional is GGA-PBE.

## Properties
The calculation puts the formation energy from the elements at 0.46 eV per atom. As for the space group: P4/mmm. As for the total moment: 3.6 μB per formula unit. As for the energy above the most stable polymorph in this dataset: 156 meV/atom.

Lattice parameters (Å, degrees): 3.2597 4.6440 4.6440 90.00 90.00 90.00
With the nearest neighbours (Å) after each atom.
Element x y z (fractional)
Cr (0.0000, 0.0000, 0.0000)  4 Ta 2.84, 4 Y 2.84
Cr (0.0000, 0.5000, 0.5000)  4 Ta 2.84, 4 Y 2.84
Ta (0.5000, 0.5000, 0.0000)  8 Cr 2.84
Y (0.5000, 0.0000, 0.5000)  8 Cr 2.84

Entry 12:
This record from Alexandria describes a relaxed SmDy6Pu crystal. The functional is GGA-PBE.

## Properties
The calculation puts the formation energy from the elements at 0.07 eV per atom. As for the space group: Amm2. As for the total moment: 6.6 μB per formula unit.

Lattice parameters (Å, degrees): 5.6783 7.1504 7.1504 119.97 90.00 90.00
With the nearest neighbours (Å) after each atom.
Element x y z (fractional)
Sm (0.5000, 0.1659, 0.8341)  10 Dy 3.51-3.59, 2 Pu 3.58
Dy (0.5000, 0.1673, 0.3331)  8 Dy 3.51-3.58, 2 Sm 3.56-3.59, 2 Pu 3.57-3.58
Dy (0.5000, 0.6669, 0.8327)  8 Dy 3.51-3.58, 2 Sm 3.56-3.59, 2 Pu 3.57-3.58
Dy (0.0000, 0.3392, 0.1700)  2 Pu 3.49, 8 Dy 3.51-3.64, 2 Sm 3.52
Dy (0.0000, 0.8300, 0.6608)  2 Pu 3.49, 8 Dy 3.51-3.64, 2 Sm 3.52
Dy (0.0000, 0.3332, 0.6668)  10 Dy 3.51-3.58, 2 Sm 3.51
Dy (0.0000, 0.8309, 0.1691)  2 Pu 3.49, 10 Dy 3.52-3.63
Pu (0.5000, 0.6666, 0.3334)  10 Dy 3.49-3.58, 2 Sm 3.58

- Among the records above, which one has the highest total moment?
  SmDy6Pu